Below is a geometry-optimized TaBeCd2 structure, with properties calculated at the PBE level.

The structure belongs to space group Pmmm (No. 47); the cell edges are 2.8797, 4.1819 and 5.8351 Å and the angles 90.00°, 90.00° and 90.00°. The distinct sites, in fractional coordinates, are Ta at (0.0000, 0.0000, 0.0000), Be at (0.0000, 0.0000, 0.5000) and Cd at (0.5000, 0.5000, 0.2613).

The calculation puts the size of the total moment at 0.00 μB per formula unit. For the volume, the calculation gives 70.3 Å³ per cell. Its energy of formation from the pure elements is 0.558 eV per atom. The value obtained for the calculated total energy is -3.794 eV/atom.